Material: LaTmZnHg
Method: DFT, PBE
State: optimized geometry

Unit cell a=3.6439 b=3.6439 c=7.7012 alpha=90.00 beta=90.00 gamma=90.00
Last column: nearest neighbours and their distance in Å.
Fractional coordinates of all 4 atoms:
La1 0.0000 0.0000 0.0000  4 Zn 3.27, 4 Hg 3.45, 1 Tm 3.60, 4 La 3.64
Tm1 0.0000 0.0000 0.4675  4 Zn 3.03, 4 Hg 3.15
Zn1 0.5000 0.5000 0.2609  4 Tm 3.03, 4 La 3.27
Hg1 0.5000 0.5000 0.7029  4 Tm 3.15, 1 Zn 3.40, 4 La 3.45

As for the total energy: -3.15 eV per atom. The calculation puts the formation enthalpy at 0 K at -0.41 eV/atom. Its energy above the most stable polymorph in this dataset is 0.000 eV per atom.